Computed, not measured: a relaxed Pm4Ge3Ru crystal at the PBE-GGA level of DFT.

**Formation energy from the elements**: -5.56 eV/f.u.
**Crystal system**: orthorhombic
**DFT total energy**: -0.43816 Ry/atom

```
Pm4Ge3Ru
1.0
-0.1988 -1.3175 4.1685
4.0357 0.1739 0.2474
-0.6513 10.4571 3.2741
Pm Ge Ru
4 3 1
Cartesian
1.4547 9.1287 2.9546 Pm
-0.5165 6.0380 4.1810 Pm
-0.0871 1.3979 0.4377 Pm
1.6893 3.1084 3.3602 Pm
1.6390 6.1701 2.0283 Ge
-0.2756 4.4245 1.3853 Ge
-0.7033 9.0374 5.1201 Ge
1.8682 0.2360 2.4609 Ru
```